Entry 1:
First-principles (PBE) data for an optimized crystal structure of UHgBr3, as listed in Alexandria via LeMat-Bulk.

```
data_UHgBr3
_space_group_name_H-M_alt 'P m -3 m'
_space_group_IT_number 221
_space_group_name_Hall '-P 4 2 3'
_cell_length_a 5.7975
_cell_length_b 5.7975
_cell_length_c 5.7975
_cell_angle_alpha 90.00
_cell_angle_beta 90.00
_cell_angle_gamma 90.00
loop_
_atom_site_label
_atom_site_type_symbol
_atom_site_fract_x
_atom_site_fract_y
_atom_site_fract_z
_atom_site_occupancy
U1 U 0.0000 0.0000 0.0000 1
Hg1 Hg 0.5000 0.5000 0.5000 1
Br1 Br 0.0000 0.0000 0.5000 1
```

## Properties
- Spin magnetization: 3.0 μB/f.u.
- Energy above the most stable polymorph in this dataset: 75.9 meV/atom
- Uncorrected formation energy: -919 meV/atom
- Volume: 194.9 Å³ per cell

Entry 2:
First-principles (PBE) data for an optimized crystal structure of BaLa2Mo, as listed in Alexandria via LeMat-Bulk.

```
data_BaLa2Mo
_space_group_name_H-M_alt 'I -4 2 d'
_space_group_IT_number 122
_space_group_name_Hall 'I -4 2bw'
_cell_length_a 8.2292
_cell_length_b 8.2292
_cell_length_c 11.5514
_cell_angle_alpha 90.00
_cell_angle_beta 90.00
_cell_angle_gamma 90.00
loop_
_atom_site_label
_atom_site_type_symbol
_atom_site_fract_x
_atom_site_fract_y
_atom_site_fract_z
_atom_site_occupancy
Ba1 Ba 0.0000 0.0000 0.0000 1
La1 La 0.0318 0.7500 0.6250 1
Mo1 Mo 0.0000 0.0000 0.5000 1
```

## Properties
- Spin magnetization: 0.0 μB/f.u.
- Energy above the most stable polymorph in this dataset: 210.5 meV/atom
- Volume: 782.2 Å³ per cell
- Energy relative to the elements: 564 meV per atom

Entry 3:
First-principles (PBE) data for an optimized crystal structure of Si2Ag2Rh, as listed in Alexandria via LeMat-Bulk.

```
data_Si2Ag2Rh
_space_group_name_H-M_alt 'P 4/m b m'
_space_group_IT_number 127
_space_group_name_Hall '-P 4 2ab'
_cell_length_a 6.1852
_cell_length_b 6.1852
_cell_length_c 4.2048
_cell_angle_alpha 90.00
_cell_angle_beta 90.00
_cell_angle_gamma 90.00
loop_
_atom_site_label
_atom_site_type_symbol
_atom_site_fract_x
_atom_site_fract_y
_atom_site_fract_z
_atom_site_occupancy
Si1 Si 0.1336 0.3664 0.0000 1
Ag1 Ag 0.1843 0.6843 0.5000 1
Rh1 Rh 0.0000 0.0000 0.0000 1
```

## Properties
- Spin magnetization: 0.0 μB/f.u.
- Energy above the most stable polymorph in this dataset: 0.0 meV/atom
- Uncorrected formation energy: -75 meV/atom
- Volume: 160.9 Å³ per cell

Entry 4:
First-principles (PBE) data for an optimized crystal structure of BaCd2Ag2, as listed in Alexandria via LeMat-Bulk.

```
data_BaCd2Ag2
_space_group_name_H-M_alt 'P -1'
_space_group_IT_number 2
_space_group_name_Hall '-P 1'
_cell_length_a 6.2496
_cell_length_b 7.0626
_cell_length_c 7.8866
_cell_angle_alpha 71.62
_cell_angle_beta 67.05
_cell_angle_gamma 63.85
loop_
_atom_site_label
_atom_site_type_symbol
_atom_site_fract_x
_atom_site_fract_y
_atom_site_fract_z
_atom_site_occupancy
Ba1 Ba 0.1291 0.2482 0.2488 1
Cd1 Cd 0.1513 0.1456 0.7760 1
Cd2 Cd 0.4318 0.6400 0.2789 1
Ag1 Ag 0.3003 0.6922 0.9533 1
Ag2 Ag 0.4414 0.8108 0.5495 1
```

## Properties
- Spin magnetization: 0.0 μB/f.u.
- Energy above the most stable polymorph in this dataset: 19.3 meV/atom
- Volume: 283.4 Å³ per cell
- Energy relative to the elements: -218 meV per atom

Entry 5:
First-principles (PBE) data for an optimized crystal structure of TaAu, as listed in Alexandria via LeMat-Bulk.

```
data_TaAu
_space_group_name_H-M_alt 'P -3 m 1'
_space_group_IT_number 164
_space_group_name_Hall '-P 3 2"'
_cell_length_a 2.9336
_cell_length_b 2.9336
_cell_length_c 9.7537
_cell_angle_alpha 90.00
_cell_angle_beta 90.00
_cell_angle_gamma 120.00
loop_
_atom_site_label
_atom_site_type_symbol
_atom_site_fract_x
_atom_site_fract_y
_atom_site_fract_z
_atom_site_occupancy
Ta1 Ta 0.3333 0.6667 0.3697 1
Au1 Au 0.3333 0.6667 0.8705 1
```

## Properties
- Spin magnetization: 0.0 μB/f.u.
- Volume: 72.7 Å³ per cell
- Energy relative to the elements: 69 meV per atom

Entry 6:
First-principles (PBE) data for an optimized crystal structure of PIrPdO2, as listed in Alexandria via LeMat-Bulk.

```
data_PIrPdO2
_space_group_name_H-M_alt 'P 4/m m m'
_space_group_IT_number 123
_space_group_name_Hall '-P 4 2'
_cell_length_a 3.6227
_cell_length_b 3.6227
_cell_length_c 6.7674
_cell_angle_alpha 90.00
_cell_angle_beta 90.00
_cell_angle_gamma 90.00
loop_
_atom_site_label
_atom_site_type_symbol
_atom_site_fract_x
_atom_site_fract_y
_atom_site_fract_z
_atom_site_occupancy
P1 P 0.0000 0.0000 0.0000 1
Ir1 Ir 0.5000 0.5000 0.0000 1
Pd1 Pd 0.0000 0.0000 0.5000 1
O1 O 0.0000 0.5000 0.5000 1
```

## Properties
- Spin magnetization: 0.0 μB/f.u.
- Energy above the most stable polymorph in this dataset: 804.3 meV/atom
- Uncorrected formation energy: 691 meV/atom
- Volume: 88.8 Å³ per cell